# Sc4Pd3Rh2

A geometry-optimized Sc4Pd3Rh2 structure (PBE, Alexandria via LeMat-Bulk).

Computed properties:
total DFT energy (no corrections): -7.046 eV per atom
formation energy from the elements: -7.81 eV per formula unit

abc: 7.853 4.518 8.720
angles: 90.00 90.20 90.00
Space group C2/m (No. 12)
Symmetry-distinct sites (fractional):
Sc (0.001, 0.000, 0.329) [4 per cell]
Sc (0.166, 0.500, 0.888) [4 per cell]
Pd (0.000, 0.000, 0.000) [2 per cell]
Pd (0.167, 0.500, 0.565) [4 per cell]
Rh (0.167, 0.500, 0.215) [4 per cell]